Material: Na5Pr4Ge4O16F
Method: DFT, PBE
State: relaxed

## Properties
DFT total energy (eV per atom): -6.58
E_form (uncorrected) (eV per atom): -2.40
Total magnetization (μB/atom): 0.0060

a b c (Å): 9.1227 9.1227 9.1227
angles (deg): 95.72 95.72 143.21
Element x y z (fractional)
O  0.1852  0.4011  0.0024
Pr  0.8398  0.0423  0.4329
O  0.9321  0.4655  0.0550
O  0.0083  0.6901  0.7527
O  0.4254  0.7990  0.2806
O  0.5345  0.5895  0.4666
O  0.3987  0.1828  0.9976
Ge  0.0127  0.8633  0.3537
Ge  0.3409  0.9873  0.8506
Pr  0.5931  0.1602  0.2026
O  0.5989  0.6013  0.7841
F  0.7500  0.2500  0.5000
Na  0.6368  0.8284  0.0181
O  0.5184  0.1448  0.7194
O  0.7445  0.9917  0.6818
O  0.8172  0.8148  0.2159
Na  0.2500  0.7500  0.5000
Na  0.1716  0.1896  0.8084
O  0.9373  0.2555  0.2473
O  0.3099  0.0627  0.3182
Na  0.8104  0.6187  0.9819
Ge  0.5097  0.6591  0.6463
O  0.4105  0.8771  0.9450
Pr  0.6094  0.4069  0.5671
O  0.8552  0.5746  0.3736
O  0.1229  0.0679  0.5334
Na  0.3813  0.3632  0.1916
Ge  0.1367  0.4903  0.1494
O  0.2010  0.4816  0.6264
Pr  0.9577  0.3906  0.7974


Material: MgAgSn2Se
Method: DFT, PBE
State: relaxed

## Properties
DFT total energy (eV per atom): -2.71
E_form (uncorrected) (eV per atom): 0.47
Total magnetization (μB/atom): 0.0000

a b c (Å): 5.4364 4.8922 5.4364
angles (deg): 90.00 90.00 90.00
Element x y z (fractional)
Ag  0.0000  0.5000  0.0000
Se  0.5000  0.5000  0.5000
Mg  0.0000  0.0000  0.0000
Sn  0.5000  0.0000  0.0000
Sn  0.0000  0.0000  0.5000


Material: Te2HIr
Method: DFT, PBE
State: relaxed

## Properties
DFT total energy (eV per atom): -4.26
Total magnetization (μB/atom): 0.0000
Relative energy among the computed polymorphs (eV/atom): 0.397

a b c (Å): 5.7892 5.7892 6.6434
angles (deg): 64.17 64.17 90.00
Element x y z (fractional)
Te  0.3750  0.4071  0.7500
Te  0.5929  0.1250  0.2500
Ir  0.0000  0.0000  0.0000
Te  0.1571  0.6250  0.2500
Te  0.8750  0.8429  0.7500
Ir  0.7500  0.2500  0.5000
H  0.2500  0.7500  0.5000
H  0.5000  0.5000  0.0000


Material: Ba2InHgI
Method: DFT, PBE
State: relaxed

## Properties
DFT total energy (eV per atom): -1.89
E_form (uncorrected) (eV per atom): -0.20
Total magnetization (μB/atom): 0.0000

a b c (Å): 6.5435 6.3075 6.5435
angles (deg): 90.00 90.00 90.00
Element x y z (fractional)
Ba  0.5000  0.0000  0.0000
Ba  0.0000  0.0000  0.5000
I  0.0000  0.0000  0.0000
Hg  0.0000  0.5000  0.0000
In  0.5000  0.5000  0.5000


| no. | V (A^3/atom) |
| --- | --- |
| 1 | 14.38 |
| 2 | 28.92 |
| 3 | 21.92 |
| 4 | 54.01 |